Na5Bi2AsC4O16: optimized geometry, PBE-GGA.

a = 10.3933 Å, b = 10.3933 Å, c = 10.4981 Å
α = 119.03°, β = 119.03°, γ = 91.14°
Last column: nearest neighbours and their distance in Å.
Atoms (fractional coordinates):
1 O 0.5607 0.7023 0.1190  1 As 1.74
2 O 0.2203 0.6666 0.1890  1 C 1.31
3 O 0.3334 0.7797 0.8110  1 C 1.31
4 O 0.2906 0.9706 0.1875  1 C 1.30
5 O 0.8969 0.2170 0.1875  1 C 1.30
6 O 0.4622 0.7829 0.4379  1 C 1.29
7 O 0.2878 0.0770 0.0436  1 C 1.31
8 O 0.7818 0.7087 0.7097  1 C 1.29
9 O 0.4683 0.6684 0.6959  1 C 1.31
10 O 0.2913 0.2182 0.2903  1 C 1.29
11 O 0.2977 0.4393 0.8810  1 As 1.74
12 O 0.3450 0.0243 0.5621  1 C 1.29
13 O 0.9514 0.3175 0.6334  1 As 1.73
14 O 0.3316 0.5317 0.3041  1 C 1.31
15 O 0.6841 0.3180 0.3666  1 As 1.73
16 O 0.9990 0.0721 0.2903  1 C 1.29
17 O 0.9726 0.7724 0.3041  1 C 1.31
18 O 0.9230 0.7122 0.9564  1 C 1.31
19 O 0.9279 0.0010 0.7097  1 C 1.29
20 O 0.5583 0.4167 0.1190  1 As 1.74
21 O 0.5833 0.4417 0.8810  1 As 1.74
22 O 0.6825 0.0486 0.3666  1 As 1.73
23 O 0.0294 0.7094 0.8125  1 C 1.30
24 O 0.9686 0.5224 0.1890  1 C 1.31
25 O 0.0334 0.2442 0.9564  1 C 1.31
26 O 0.2276 0.0274 0.6959  1 C 1.31
27 O 0.7830 0.1031 0.8125  1 C 1.30
28 O 0.6820 0.3159 0.6334  1 As 1.73
29 O 0.2171 0.5378 0.5621  1 C 1.29
30 O 0.9757 0.6550 0.4379  1 C 1.29
31 O 0.7558 0.9666 0.0436  1 C 1.31
32 O 0.4776 0.0314 0.8110  1 C 1.31
33 Na 0.6975 0.6975 0.0000  2 O 2.29
34 Na 0.3025 0.3025 0.0000  2 O 2.29
35 Na 0.9466 0.0534 0.5000  4 O 2.39-2.60
36 Na 0.5531 0.0531 0.1061  6 O 2.42-2.69
37 Na 0.9485 0.4485 0.5000  4 O 2.37-2.57
38 Na 0.5515 0.0515 0.5000  4 O 2.37-2.57
39 Na 0.6942 0.3058 0.0000  2 O 2.29
40 Na 0.9469 0.4469 0.8939  6 O 2.42-2.69
41 Na 0.5534 0.4466 0.5000  4 O 2.39-2.60
42 Na 0.3058 0.6942 0.0000  2 O 2.29
43 Bi 0.6254 0.8730 0.7402  6 O 2.36-2.42
44 Bi 0.1327 0.8852 0.2598  6 O 2.36-2.42
45 Bi 0.1148 0.8673 0.7402  6 O 2.36-2.42
46 Bi 0.1270 0.3746 0.2598  6 O 2.36-2.42
47 As 0.5000 0.5000 0.0000  4 O 1.74
48 As 0.7500 0.2500 0.5000  4 O 1.73
49 C 0.9148 0.1147 0.8259  3 O 1.29-1.31
50 C 0.9723 0.6505 0.3113  3 O 1.29-1.31
51 C 0.9111 0.7112 0.8259  3 O 1.29-1.31
52 C 0.8853 0.0852 0.1741  3 O 1.29-1.31
53 C 0.3495 0.0277 0.6887  3 O 1.29-1.31
54 C 0.2888 0.0889 0.1741  3 O 1.29-1.31
55 C 0.3390 0.6608 0.3113  3 O 1.29-1.31
56 C 0.3392 0.6610 0.6887  3 O 1.29-1.31

## Properties
Space group: F222
E_form (uncorrected) (kJ per mole of atoms): -141

=====

ZnRe2Hg: optimized geometry, PBE-GGA.

a = 4.7292 Å, b = 4.7292 Å, c = 4.7292 Å
α = 127.92°, β = 127.92°, γ = 76.75°
Last column: nearest neighbours and their distance in Å.
Atoms (fractional coordinates):
1 Zn 0.5000 0.5000 0.0000  8 Re 2.78-2.94, 4 Hg 2.78
2 Hg 0.7500 0.2500 0.5000  8 Re 2.78-2.94, 4 Zn 2.78
3 Re 0.0000 0.0000 0.0000  4 Hg 2.78, 4 Re 2.78, 4 Zn 2.94
4 Re 0.2500 0.7500 0.5000  4 Re 2.78, 4 Zn 2.78, 4 Hg 2.94

## Properties
Space group: I-4m2
DFT formation energy (meV/atom): 657
Distance to the lowest polymorph of the same formula (kJ/mol of formula units): 154

=====

Tb6PmY12: optimized geometry, PBE-GGA.

a = 8.7511 Å, b = 9.4469 Å, c = 9.4469 Å
α = 69.09°, β = 72.01°, γ = 107.99°
Last column: nearest neighbours and their distance in Å.
Atoms (fractional coordinates):
1 Y 0.4747 0.1579 0.7359  4 Tb 3.56-3.58, 7 Y 3.56-3.59, 1 Pm 3.58
2 Y 0.6832 0.8938 0.8421  4 Tb 3.56-3.58, 7 Y 3.56-3.59, 1 Pm 3.58
3 Y 0.1063 0.3691 0.0527  5 Tb 3.56-3.58, 6 Y 3.56-3.59, 1 Pm 3.58
4 Y 0.1590 0.0527 0.5782  5 Tb 3.56-3.58, 6 Y 3.56-3.59, 1 Pm 3.58
5 Y 0.5253 0.8421 0.2641  4 Tb 3.56-3.58, 7 Y 3.56-3.59, 1 Pm 3.58
6 Y 0.2105 0.7359 0.1062  4 Tb 3.56-3.58, 7 Y 3.56-3.59, 1 Pm 3.58
7 Y 0.3168 0.1062 0.1579  4 Tb 3.56-3.58, 7 Y 3.56-3.59, 1 Pm 3.58
8 Y 0.7372 0.5782 0.3691  5 Tb 3.56-3.58, 6 Y 3.56-3.59, 1 Pm 3.58
9 Y 0.2628 0.4218 0.6309  5 Tb 3.56-3.58, 6 Y 3.56-3.59, 1 Pm 3.58
10 Y 0.7895 0.2641 0.8938  4 Tb 3.56-3.58, 7 Y 3.56-3.59, 1 Pm 3.58
11 Y 0.8937 0.6309 0.9473  5 Tb 3.56-3.58, 6 Y 3.56-3.59, 1 Pm 3.58
12 Y 0.8410 0.9473 0.4218  5 Tb 3.56-3.58, 6 Y 3.56-3.59, 1 Pm 3.58
13 Tb 0.5783 0.5265 0.7899  9 Y 3.56-3.58, 3 Tb 3.56-3.57
14 Tb 0.0518 0.6835 0.5265  9 Y 3.56-3.58, 3 Tb 3.56-3.57
15 Tb 0.4217 0.4735 0.2101  9 Y 3.56-3.58, 3 Tb 3.56-3.57
16 Tb 0.6317 0.2101 0.3165  9 Y 3.56-3.58, 3 Tb 3.56-3.57
17 Tb 0.3683 0.7899 0.6835  9 Y 3.56-3.58, 3 Tb 3.56-3.57
18 Tb 0.9482 0.3165 0.4735  9 Y 3.56-3.58, 3 Tb 3.56-3.57
19 Pm 0.0000 0.0000 0.0000  12 Y 3.58

## Properties
Space group: R-3
DFT formation energy (meV/atom): 20
Distance to the lowest polymorph of the same formula (kJ/mol of formula units): 0

=====

Cs3RbTe2O9: optimized geometry, PBE-GGA.

a = 6.2997 Å, b = 6.2997 Å, c = 8.1683 Å
α = 90.00°, β = 90.00°, γ = 120.00°
Last column: nearest neighbours and their distance in Å.
Atoms (fractional coordinates):
1 Rb 0.0000 0.0000 0.5000  6 O 2.78
2 Cs 0.3333 0.6667 0.6588  12 O 3.21-3.53
3 Cs 0.0000 0.0000 0.0000  12 O 3.03-3.15
4 Cs 0.6667 0.3333 0.3412  12 O 3.21-3.53
5 O 0.5000 0.0000 0.0000  2 Te 2.17
6 O 0.8112 0.6224 0.7279  1 Te 1.89
7 O 0.1888 0.8112 0.2721  1 Te 1.89
8 O 0.3776 0.1888 0.7279  1 Te 1.89
9 O 0.5000 0.5000 0.0000  2 Te 2.17
10 O 0.1888 0.3776 0.2721  1 Te 1.89
11 O 0.8112 0.1888 0.7279  1 Te 1.89
12 O 0.6224 0.8112 0.2721  1 Te 1.89
13 O 0.0000 0.5000 0.0000  2 Te 2.17
14 Te 0.6667 0.3333 0.8559  3 O 1.89
15 Te 0.3333 0.6667 0.1441  3 O 1.89

## Properties
Space group: P-3m1
E_form (uncorrected) (kJ per mole of atoms): -101

=====

MgZrHRh2: optimized geometry, PBE-GGA.

a = 4.2475 Å, b = 4.2475 Å, c = 3.7933 Å
α = 90.00°, β = 90.00°, γ = 90.00°
Last column: nearest neighbours and their distance in Å.
Atoms (fractional coordinates):
1 Rh 0.5000 0.0000 0.0000  2 H 2.12
2 Rh 0.0000 0.5000 0.0000  2 H 2.12
3 Zr 0.5000 0.5000 0.5000  8 Rh 2.85, 4 Mg 3.00
4 Mg 0.0000 0.0000 0.5000  2 H 1.90
5 H 0.0000 0.0000 0.0000  2 Mg 1.90, 4 Rh 2.12

## Properties
Space group: P4/mmm
Distance to the lowest polymorph of the same formula (kJ/mol of formula units): 20

=====

Ba2CaCdSb2: optimized geometry, PBE-GGA.

a = 7.0979 Å, b = 7.2984 Å, c = 10.0230 Å
α = 111.35°, β = 110.74°, γ = 90.00°
Last column: nearest neighbours and their distance in Å.
Atoms (fractional coordinates):
1 Ba 0.1309 0.3322 0.6643  5 Sb 3.50-3.78, 2 Cd 3.71
2 Ba 0.8691 0.6678 0.3357  5 Sb 3.50-3.78, 2 Cd 3.71
3 Ba 0.4666 0.1678 0.3357  5 Sb 3.50-3.78, 2 Cd 3.71
4 Ba 0.5334 0.8322 0.6643  5 Sb 3.50-3.78, 2 Cd 3.71
5 Sb 0.9299 0.1293 0.2585  2 Ca 3.21, 1 Ba 3.50, 2 Cd 3.59
6 Sb 0.6714 0.3707 0.7415  2 Ca 3.21, 1 Ba 3.50, 2 Cd 3.59
7 Sb 0.3286 0.6293 0.2585  2 Ca 3.21, 1 Ba 3.50, 2 Cd 3.59
8 Sb 0.0701 0.8707 0.7415  2 Ca 3.21, 1 Ba 3.50, 2 Cd 3.59
9 Cd 0.5000 0.7500 0.0000  2 Ca 3.55, 4 Sb 3.59, 2 Cd 3.65, 4 Ba 3.71
10 Cd 0.5000 0.2500 0.0000  2 Ca 3.55, 4 Sb 3.59, 2 Cd 3.65, 4 Ba 3.71
11 Ca 0.0000 0.2500 0.0000  4 Sb 3.21, 2 Cd 3.55
12 Ca 0.0000 0.7500 0.0000  4 Sb 3.21, 2 Cd 3.55

## Properties
Space group: Ibam
E_form (uncorrected) (kJ per mole of atoms): -75

=====

HfCd2SbP: optimized geometry, PBE-GGA.

a = 5.7218 Å, b = 5.7218 Å, c = 5.4131 Å
α = 90.00°, β = 90.00°, γ = 90.00°
Last column: nearest neighbours and their distance in Å.
Atoms (fractional coordinates):
1 Cd 0.0000 0.5000 0.0000  2 Hf 2.86
2 Cd 0.5000 0.0000 0.0000  2 Hf 2.86
3 P 0.5000 0.5000 0.5000  8 Cd 3.94, 4 Sb 4.05
4 Sb 0.0000 0.0000 0.5000  2 Hf 2.71
5 Hf 0.0000 0.0000 0.0000  2 Sb 2.71, 4 Cd 2.86

## Properties
Space group: P4/mmm
E_form (uncorrected) (kJ per mole of atoms): 101

=====

KRh3I: optimized geometry, PBE-GGA.

a = 4.9302 Å, b = 4.9302 Å, c = 4.9302 Å
α = 90.00°, β = 90.00°, γ = 90.00°
Last column: nearest neighbours and their distance in Å.
Atoms (fractional coordinates):
1 K 0.0000 0.0000 0.0000  6 Rh 2.47
2 Rh 0.5000 0.0000 0.0000  2 K 2.47
3 Rh 0.0000 0.5000 0.0000  2 K 2.47
4 Rh 0.0000 0.0000 0.5000  2 K 2.47
5 I 0.5000 0.5000 0.5000  12 Rh 3.49

## Properties
Space group: Pm-3m
E_form (uncorrected) (kJ per mole of atoms): 199
Distance to the lowest polymorph of the same formula (kJ/mol of formula units): 610

=====

| no. | total magnetization (μB per atom) |
| --- | --- |
| 1 | 0.0034 |
| 2 | 0.0000 |
| 3 | 0.0000 |
| 4 | 0.1570 |
| 5 | 0.0000 |
| 6 | 0.0000 |
| 7 | 0.3957 |
| 8 | 0.6423 |